Computed, not measured: a relaxed structure of Pr2Sm8Sn at the PBE level of DFT.

Lattice parameters (Å, degrees): 18.448 5.008 8.082 90.00 105.08 90.00
Space group C2/m (No. 12)
One atom of each set of equivalent atoms:
Pr (0.222, 0.000, 0.135) x4
Sm (0.043, 0.000, 0.231) x4
Sm (0.088, 0.500, 0.937) x4
Sm (0.135, 0.000, 0.675) x4
Sm (0.177, 0.500, 0.408) x4
Sn (0.000, 0.500, 0.500) x2

E_form (eV per formula unit): -1.2